Record 1
First-principles (PBE) data for Dy2HfNbN4 after structural relaxation, as listed in the Alexandria database.

Computed properties:
Space group: P2/m (10)
Raw total energy, eV/atom: -9.39

abc: 5.705 3.278 5.768
angles: 90.00 109.21 90.00
Fractional coordinates of all 8 atoms:
Dy 0.000 0.000 0.000
Dy 0.500 0.500 0.000
Hf 0.000 0.500 0.500
Nb 0.500 0.000 0.500
N 0.239 0.000 0.727
N 0.255 0.500 0.272
N 0.745 0.500 0.728
N 0.761 0.000 0.273

---

Record 2
First-principles (PBE) data for HgSbI2O after structural relaxation, as listed in the Alexandria database.

Computed properties:
Energy above the most stable polymorph in this dataset, meV/atom: 0
Space group: P4/mmm (123)

abc: 6.185 6.185 4.097
angles: 90.00 90.00 90.00
Fractional coordinates of all 5 atoms:
Hg 0.000 0.000 0.000
Sb 0.500 0.500 0.500
I 0.000 0.500 0.500
I 0.500 0.000 0.500
O 0.500 0.500 0.000

---

Record 3
First-principles (PBE) data for BaSr2Sb after structural relaxation, as listed in the Alexandria database.

Computed properties:
Space group: I-42d (122)
Raw total energy, eV/atom: -2.77

abc: 8.425 8.425 8.425
angles: 100.64 100.64 129.10
Fractional coordinates of all 8 atoms:
Ba 0.000 0.000 0.000
Ba 0.750 0.250 0.500
Sr 0.218 0.625 0.093
Sr 0.375 0.468 0.593
Sr 0.532 0.125 0.907
Sr 0.875 0.782 0.407
Sb 0.250 0.750 0.500
Sb 0.500 0.500 0.000

---

Record 4
First-principles (PBE) data for PmPr2Ho4Sc after structural relaxation, as listed in the Alexandria database.

Computed properties:
Space group: C2/c (15)
Formation energy, kcal/mol of atoms: 9.40

abc: 9.441 9.441 6.767
angles: 110.99 110.99 88.07
Fractional coordinates of all 16 atoms:
Pm 0.000 0.500 0.000
Pm 0.500 0.000 0.500
Pr 0.000 0.000 0.000
Pr 0.000 0.000 0.500
Pr 0.000 0.500 0.500
Pr 0.500 0.000 0.000
Ho 0.265 0.735 0.000
Ho 0.265 0.735 0.500
Ho 0.267 0.267 0.018
Ho 0.267 0.267 0.518
Ho 0.733 0.733 0.482
Ho 0.733 0.733 0.982
Ho 0.735 0.265 0.000
Ho 0.735 0.265 0.500
Sc 0.500 0.500 0.000
Sc 0.500 0.500 0.500

---

Record 5
First-principles (PBE) data for Sr2NpSn3Rh4 after structural relaxation, as listed in the Alexandria database.

Computed properties:
Space group: P-4m2 (115)
Formation energy, kcal/mol of atoms: -12.73

abc: 4.555 4.555 11.210
angles: 90.00 90.00 90.00
Fractional coordinates of all 10 atoms:
Sr 0.000 0.500 0.233
Sr 0.500 0.000 0.767
Np 0.000 0.000 0.500
Sn 0.000 0.500 0.876
Sn 0.500 0.000 0.124
Sn 0.500 0.500 0.500
Rh 0.000 0.000 0.000
Rh 0.000 0.500 0.636
Rh 0.500 0.000 0.364
Rh 0.500 0.500 0.000

---

Record 6
First-principles (PBE) data for Ac5GaCu4 after structural relaxation, as listed in the Alexandria database.

Computed properties:
Space group: P4/mmm (123)
Formation energy, kcal/mol of atoms: -3.71

abc: 3.822 3.822 19.190
angles: 90.00 90.00 90.00
Fractional coordinates of all 10 atoms:
Ac 0.000 0.000 0.000
Ac 0.000 0.000 0.198
Ac 0.000 0.000 0.395
Ac 0.000 0.000 0.605
Ac 0.000 0.000 0.802
Ga 0.500 0.500 0.500
Cu 0.500 0.500 0.099
Cu 0.500 0.500 0.295
Cu 0.500 0.500 0.705
Cu 0.500 0.500 0.901

---

Record 7
First-principles (PBE) data for NbTcPdN2 after structural relaxation, as listed in the Alexandria database.

Computed properties:
Space group: P4/mmm (123)
Raw total energy, eV/atom: -7.49

abc: 3.820 3.820 5.411
angles: 90.00 90.00 90.00
Fractional coordinates of all 5 atoms:
Nb 0.000 0.000 0.000
Tc 0.000 0.000 0.500
Pd 0.500 0.500 0.000
N 0.000 0.500 0.500
N 0.500 0.000 0.500

---

Record 8
First-principles (PBE) data for SrP2OF after structural relaxation, as listed in the Alexandria database.

Computed properties:
Energy above the most stable polymorph in this dataset, meV/atom: 0
Space group: P4/mmm (123)

abc: 3.984 3.984 5.727
angles: 90.00 90.00 90.00
Fractional coordinates of all 5 atoms:
Sr 0.000 0.000 0.000
P 0.000 0.500 0.500
P 0.500 0.000 0.500
O 0.500 0.500 0.000
F 0.500 0.500 0.500